Version A
# V3SiRu

V3SiRu after structural relaxation (PBE, the Alexandria database).

Cell: 4.307 4.307 4.307 Å, 90.00 90.00 90.00°
Space group Pm-3m (No. 221)
Asymmetric unit:
V1 0.000 0.000 0.500 (multiplicity 3)
Si1 0.000 0.000 0.000 (multiplicity 1)
Ru1 0.500 0.500 0.500 (multiplicity 1)

Values from the calculation:
* density of states at the Fermi level: 5.49 states/eV/cell

---

Version B
# V3SiRu

V3SiRu after structural relaxation (PBE, the Alexandria database).

Cell: 4.501 4.501 4.501 Å, 90.00 90.00 90.00°
Space group Pm-3m (No. 221)
Asymmetric unit:
V1 0.000 0.000 0.500 (multiplicity 3)
Si1 0.500 0.500 0.500 (multiplicity 1)
Ru1 0.000 0.000 0.000 (multiplicity 1)

Values from the calculation:
* density of states at the Fermi level: 6.04 states/eV/cell

---

Relative energies, kJ/mol of atoms: version A 0.0; version B 18.8.